# BaB2Rh2 | the Alexandria database | PBEsol | optimized geometry
# ΔH_f (0 K) in eV/atom: -0.4916
# Theoretical density in g/cm³: 7.12
# Size of the total moment in μB per formula unit: 0.0
data_BaB2Rh2
_chemical_formula_sum 'Ba2 B4 Rh4'
_space_group_name_H-M_alt 'I 4/m m m'
_space_group_IT_number 139
_space_group_name_Hall '-I 4 2'
_cell_length_a 3.882
_cell_length_b 3.882
_cell_length_c 11.296
_cell_angle_alpha 90.00
_cell_angle_beta 90.00
_cell_angle_gamma 90.00
loop_
_atom_site_label
_atom_site_fract_x
_atom_site_fract_y
_atom_site_fract_z
_atom_site_occupancy
Ba1 0.000 0.000 0.000 1
B1 0.000 0.000 0.319 1
Rh1 0.000 0.500 0.250 1